Entry from OQMD: a relaxed La4NdIn5 crystal (PBE).

Calculated values
total magnetic moment	0.01	μB per formula unit
total DFT energy (no corrections)	-4.328	eV per atom

Cell lengths 3.9261, 3.9261, 19.7148 Å; angles 90.00, 90.00, 90.00 degrees
Last column: nearest neighbours and their distance in Å.
Fractional positions:
La (0.0000, 0.0000, 0.1009)  8 In 3.42
La (0.0000, 0.0000, 0.3029)  8 In 3.42-3.43
La (0.0000, 0.0000, 0.6971)  8 In 3.42-3.43
La (0.0000, 0.0000, 0.8991)  8 In 3.42
Nd (0.0000, 0.0000, 0.5000)  8 In 3.35
In (0.5000, 0.5000, 0.0000)  8 La 3.42
In (0.5000, 0.5000, 0.2018)  8 La 3.42
In (0.5000, 0.5000, 0.4048)  4 Nd 3.35, 4 La 3.43, 1 In 3.75
In (0.5000, 0.5000, 0.5952)  4 Nd 3.35, 4 La 3.43, 1 In 3.75
In (0.5000, 0.5000, 0.7982)  8 La 3.42



Entry from OQMD: a relaxed Tb2HoAl3CuGe2 crystal (PBE).

Calculated values
total magnetic moment	0.00	μB per formula unit
total DFT energy (no corrections)	-4.889	eV per atom

Cell lengths 4.1742, 7.0179, 7.0179 Å; angles 119.99, 90.00, 90.00 degrees
Last column: nearest neighbours and their distance in Å.
Fractional positions:
Tb (0.0000, 0.2015, 0.7985)  1 Cu 2.83, 4 Ge 2.99
Tb (0.0000, 0.7985, 0.2015)  1 Cu 2.83, 4 Ge 2.99
Ho (0.0000, 0.6044, 0.6044)  1 Cu 2.83, 4 Ge 2.99
Al (0.5000, 0.2017, 0.4338)  2 Cu 2.65, 2 Ge 2.76-2.77, 2 Al 2.82
Al (0.5000, 0.4338, 0.2017)  2 Cu 2.65, 2 Ge 2.76-2.77, 2 Al 2.82
Al (0.5000, 0.9692, 0.9692)  2 Cu 2.65, 2 Ge 2.76, 2 Al 2.82
Cu (0.0000, 0.2019, 0.2019)  6 Al 2.65, 1 Ho 2.83, 2 Tb 2.83
Ge (0.5000, 0.5350, 0.8679)  3 Al 2.76-2.77, 2 Ho 2.99, 4 Tb 2.99
Ge (0.5000, 0.8679, 0.5350)  3 Al 2.76-2.77, 2 Ho 2.99, 4 Tb 2.99



Entry from OQMD: a relaxed NdAgSO crystal (PBE).

Calculated values
total magnetic moment	0.00	μB per formula unit
total DFT energy (no corrections)	-5.733	eV per atom

Cell lengths 4.1005, 5.8912, 6.4381 Å; angles 90.00, 90.00, 90.00 degrees
Last column: nearest neighbours and their distance in Å.
Fractional positions:
Nd (0.0000, 0.2378, 0.0000)  2 O 2.25-2.28
Nd (0.0000, 0.7622, 0.5000)  2 O 2.25-2.28
Ag (0.5000, 0.3172, 0.6013)  2 O 2.30, 1 S 2.50
Ag (0.5000, 0.6828, 0.1013)  2 O 2.30, 1 S 2.50
S (0.5000, 0.0818, 0.2783)  2 Ag 2.50-2.61
S (0.5000, 0.9182, 0.7783)  2 Ag 2.50-2.61
O (0.0000, 0.4520, 0.7050)  2 Nd 2.25-2.28, 2 Ag 2.30
O (0.0000, 0.5480, 0.2050)  2 Nd 2.25-2.28, 2 Ag 2.30



Entry from OQMD: a relaxed GdZn crystal (PBE).

Calculated values
total magnetic moment	0.00	μB per formula unit
ΔH_f (0 K)	-0.044	eV/atom
distance to the lowest polymorph of the same formula	28.45	kJ/mol of atoms

Cell lengths 4.2124, 4.2124, 4.2124 Å; angles 60.00, 60.00, 60.00 degrees
Last column: nearest neighbours and their distance in Å.
Fractional positions:
Gd (0.0000, 0.0000, 0.0000)  6 Zn 2.98
Zn (0.5000, 0.5000, 0.5000)  6 Gd 2.98



Entry from OQMD: a relaxed TaCoPtPb crystal (PBE).

Calculated values
total magnetic moment	0.20	μB per formula unit
distance to the lowest polymorph of the same formula	0.00	kJ/mol of atoms

Cell lengths 4.5861, 4.5861, 4.5861 Å; angles 60.00, 60.00, 60.00 degrees
Last column: nearest neighbours and their distance in Å.
Fractional positions:
Ta (0.0000, 0.0000, 0.0000)  4 Co 2.81, 4 Pt 2.81
Co (0.7500, 0.7500, 0.7500)  4 Ta 2.81, 4 Pb 2.81
Pt (0.2500, 0.2500, 0.2500)  4 Ta 2.81, 4 Pb 2.81
Pb (0.5000, 0.5000, 0.5000)  4 Co 2.81, 4 Pt 2.81



Entry from OQMD: a relaxed Ag2Cl crystal (PBE).

Calculated values
distance to the lowest polymorph of the same formula	8.44	kJ/mol of atoms

Cell lengths 5.6993, 5.6993, 4.6357 Å; angles 90.00, 90.00, 90.00 degrees
Last column: nearest neighbours and their distance in Å.
Fractional positions:
Ag (0.1762, 0.1762, 0.0000)  3 Cl 2.61-2.72, 1 Ag 2.84
Ag (0.3238, 0.6762, 0.5000)  3 Cl 2.61-2.72, 1 Ag 2.84
Ag (0.6762, 0.3238, 0.5000)  3 Cl 2.61-2.72, 1 Ag 2.84
Ag (0.8238, 0.8238, 0.0000)  3 Cl 2.61-2.72, 1 Ag 2.84
Cl (0.0000, 0.0000, 0.5000)  6 Ag 2.61-2.72
Cl (0.5000, 0.5000, 0.0000)  6 Ag 2.61-2.72



Entry from OQMD: a relaxed KNiAs2Pd crystal (PBE).

Calculated values
total magnetic moment	0.00	μB per formula unit
total DFT energy (no corrections)	-4.650	eV per atom

Cell lengths 4.3590, 4.3590, 6.4336 Å; angles 103.01, 103.01, 101.05 degrees
Last column: nearest neighbours and their distance in Å.
Fractional positions:
K (0.0000, 0.0000, 0.0000)  4 As 3.34-3.52, 2 Pd 3.49, 2 Ni 3.50
Ni (0.7965, 0.2035, 0.5000)  4 As 2.43-2.44
As (0.3854, 0.3786, 0.6645)  2 Pd 2.41-2.48, 2 Ni 2.43-2.44
As (0.6214, 0.6146, 0.3355)  2 Pd 2.41-2.48, 2 Ni 2.43-2.44
Pd (0.2019, 0.7981, 0.5000)  4 As 2.41-2.48



Entry from OQMD: a relaxed SrNb2 crystal (PBE).

Calculated values
total magnetic moment	0.00	μB per formula unit
distance to the lowest polymorph of the same formula	0.00	kJ/mol of atoms

Cell lengths 5.9274, 5.9274, 5.9274 Å; angles 60.00, 60.00, 60.00 degrees
Last column: nearest neighbours and their distance in Å.
Fractional positions:
Sr (0.1250, 0.1250, 0.1250)  12 Nb 3.48, 4 Sr 3.63
Sr (0.8750, 0.8750, 0.8750)  12 Nb 3.48, 4 Sr 3.63
Nb (0.0000, 0.5000, 0.5000)  6 Nb 2.96
Nb (0.5000, 0.0000, 0.5000)  6 Nb 2.96
Nb (0.5000, 0.5000, 0.0000)  6 Nb 2.96
Nb (0.5000, 0.5000, 0.5000)  6 Nb 2.96